Entry 1:
Density functional theory data (PBE) for an optimized crystal structure of Y2Ho2Pt3.

abc: 7.553 7.553 7.553
angles: 109.47 109.47 109.47
Sites, in units of the cell vectors:
1 Y 0.500 0.372 0.500
2 Y 0.000 0.000 0.372
3 Y 0.628 0.128 0.128
4 Y 0.872 0.500 0.000
5 Ho 0.000 0.000 0.874
6 Ho 0.500 0.874 0.500
7 Ho 0.126 0.626 0.626
8 Ho 0.374 0.500 0.000
9 Pt 0.750 0.628 0.378
10 Pt 0.250 0.872 0.122
11 Pt 0.622 0.750 0.872
12 Pt 0.878 0.250 0.628
13 Pt 0.372 0.122 0.750
14 Pt 0.128 0.378 0.250

Results
energy relative to the elements = -748 kJ/mol of formula units
crystal system = cubic

---

Entry 2:
Density functional theory data (PBE) for an optimized crystal structure of Tb3NdTm7.

abc: 8.563 6.985 6.985
angles: 120.00 90.00 90.00
Sites, in units of the cell vectors:
1 Tb 0.785 0.501 0.499
2 Tb 0.785 0.501 0.001
3 Tb 0.785 0.999 0.499
4 Nd 0.448 0.333 0.667
5 Tm 0.118 0.167 0.833
6 Tm 0.118 0.167 0.335
7 Tm 0.119 0.667 0.333
8 Tm 0.446 0.832 0.168
9 Tm 0.446 0.335 0.168
10 Tm 0.446 0.832 0.665
11 Tm 0.118 0.665 0.833

Results
energy relative to the elements = 208 kJ/mol of formula units
crystal system = trigonal
E above lowest polymorph = 37.5 meV/atom

---

| no. | E (Ry per atom) | V (A^3/atom) |
| --- | --- | --- |
| 1 | -0.504 | 23.70 |
| 2 | -0.319 | 32.90 |